Density functional theory data (PBE+U) for a geometry-optimized K2MnAuO structure.

Values from the calculation:
Space-group type: P4/mmm (123)
Raw total energy: -4.234 eV per atom
DOS at the Fermi energy: 0.59 states/eV per cell
ρ: 4.41 g/cm³

abc: 5.820 5.820 3.846
angles: 90.00 90.00 90.00
Sites, in units of the cell vectors:
K1 0.000 0.500 0.000
K2 0.500 0.000 0.000
Mn1 0.000 0.000 0.500
Au1 0.500 0.500 0.500
O1 0.000 0.000 0.000